Computed, not measured: a relaxed Rb2SrMoRu crystal at the PBE-GGA level of DFT.

Summary:
DOS at the Fermi energy, states/eV/atom: 1.379
Energy of formation from the pure elements, eV/atom: 1.2258
Theoretical density, g/cm3: 3.61
V, A^3/atom: 41.92

abc: 6.686 4.688 6.686
angles: 90.00 90.00 90.00
Site moments in Bohr magnetons follow the coordinates.
Fractional coordinates of all 5 atoms:
Mo 0.000 0.500 0.000  1.78
Ru 0.000 0.000 0.000  -0.01
Sr 0.500 0.500 0.500  0.00
Rb 0.500 0.000 0.000  0.01
Rb 0.000 0.000 0.500  0.01